[1]
This record from OQMD describes a geometry-optimized YGaPd2 structure. The functional is GGA-PBE.

Lattice parameters (Å, degrees): 7.3639 7.1838 5.6427 90.00 90.00 90.00
With the nearest neighbours (Å) after each atom.
Fractional positions:
1 Y 0.0287 0.2500 0.1449  3 Ga 3.01-3.08, 8 Pd 3.05-3.20
2 Y 0.4713 0.7500 0.6449  3 Ga 3.01-3.08, 8 Pd 3.05-3.20
3 Y 0.5287 0.2500 0.3551  3 Ga 3.01-3.08, 8 Pd 3.05-3.20
4 Y 0.9713 0.7500 0.8551  3 Ga 3.01-3.08, 8 Pd 3.05-3.20
5 Ga 0.1169 0.7500 0.3565  6 Pd 2.55-2.64
6 Ga 0.3831 0.2500 0.8565  6 Pd 2.55-2.64
7 Ga 0.6169 0.7500 0.1435  6 Pd 2.55-2.64
8 Ga 0.8831 0.2500 0.6435  6 Pd 2.55-2.64
9 Pd 0.1824 0.0516 0.5885  3 Ga 2.55-2.64, 1 Pd 2.85
10 Pd 0.1824 0.4484 0.5885  3 Ga 2.55-2.64, 1 Pd 2.85
11 Pd 0.3176 0.5516 0.0885  3 Ga 2.55-2.64, 1 Pd 2.85
12 Pd 0.3176 0.9484 0.0885  3 Ga 2.55-2.64, 1 Pd 2.85
13 Pd 0.6824 0.0516 0.9115  3 Ga 2.55-2.64, 1 Pd 2.85
14 Pd 0.6824 0.4484 0.9115  3 Ga 2.55-2.64, 1 Pd 2.85
15 Pd 0.8176 0.5516 0.4115  3 Ga 2.55-2.64, 1 Pd 2.85
16 Pd 0.8176 0.9484 0.4115  3 Ga 2.55-2.64, 1 Pd 2.85

Values from the calculation:
* crystal system: orthorhombic



[2]
This record from OQMD describes a geometry-optimized Y2Ga8Pd structure. The functional is GGA-PBE.

Lattice parameters (Å, degrees): 4.3366 4.3366 11.1197 90.00 90.00 90.00
With the nearest neighbours (Å) after each atom.
Fractional positions:
1 Y 0.0000 0.0000 0.1899  12 Ga 2.99-3.07
2 Y 0.0000 0.0000 0.8101  12 Ga 2.99-3.07
3 Ga 0.0000 0.5000 0.0000  4 Y 3.03, 8 Ga 3.05-3.07
4 Ga 0.0000 0.5000 0.3745  2 Pd 2.58, 1 Ga 2.79
5 Ga 0.0000 0.5000 0.6255  2 Pd 2.58, 1 Ga 2.79
6 Ga 0.5000 0.0000 0.0000  4 Y 3.03, 8 Ga 3.05-3.07
7 Ga 0.5000 0.0000 0.3745  2 Pd 2.58, 1 Ga 2.79
8 Ga 0.5000 0.0000 0.6255  2 Pd 2.58, 1 Ga 2.79
9 Ga 0.5000 0.5000 0.1925  8 Ga 2.97-3.05, 4 Y 3.07
10 Ga 0.5000 0.5000 0.8075  8 Ga 2.97-3.05, 4 Y 3.07
11 Pd 0.0000 0.0000 0.5000  8 Ga 2.58

Values from the calculation:
* crystal system: tetragonal



[3]
This record from OQMD describes a geometry-optimized Y2GaPd structure. The functional is GGA-PBE.

Lattice parameters (Å, degrees): 4.3768 5.8112 5.8112 38.93 90.00 90.00
With the nearest neighbours (Å) after each atom.
Fractional positions:
1 Y 0.0000 0.0000 0.0000  4 Ga 3.01, 3 Pd 3.08
2 Y 0.5000 0.2864 0.2864  4 Pd 3.02, 3 Ga 3.07-3.09
3 Ga 0.5000 0.5666 0.5666  2 Pd 2.75, 5 Y 3.01-3.07
4 Pd 0.0000 0.7186 0.7186  2 Ga 2.75, 4 Y 3.02

Values from the calculation:
* crystal system: orthorhombic



[4]
This record from OQMD describes a geometry-optimized YGa2Pd structure. The functional is GGA-PBE.

Lattice parameters (Å, degrees): 5.5513 5.5513 6.6380 90.00 90.00 133.02
With the nearest neighbours (Å) after each atom.
Fractional positions:
1 Y 0.0877 0.9123 0.7500  3 Pd 2.95-3.08, 6 Ga 3.02-3.18
2 Y 0.9123 0.0877 0.2500  3 Pd 2.95-3.08, 6 Ga 3.02-3.18
3 Ga 0.3728 0.6272 0.5534  2 Ga 2.61-2.69, 3 Pd 2.66-2.68
4 Ga 0.3728 0.6272 0.9466  2 Ga 2.61-2.69, 3 Pd 2.66-2.68
5 Ga 0.6272 0.3728 0.0534  2 Ga 2.61-2.69, 3 Pd 2.66-2.68
6 Ga 0.6272 0.3728 0.4466  2 Ga 2.61-2.69, 3 Pd 2.66-2.68
7 Pd 0.2016 0.7984 0.2500  6 Ga 2.66-2.68, 1 Y 2.95
8 Pd 0.7984 0.2016 0.7500  6 Ga 2.66-2.68, 1 Y 2.95

Values from the calculation:
* crystal system: orthorhombic



[5]
This record from OQMD describes a geometry-optimized YGaPd2 structure. The functional is GGA-PBE.

Lattice parameters (Å, degrees): 4.7132 4.7132 4.7132 60.00 60.00 60.00
With the nearest neighbours (Å) after each atom.
Fractional positions:
1 Y 0.0000 0.0000 0.0000  4 Ga 2.89, 4 Pd 2.89
2 Ga 0.7500 0.7500 0.7500  4 Pd 2.89, 4 Y 2.89
3 Pd 0.2500 0.2500 0.2500  4 Pd 2.89, 4 Y 2.89
4 Pd 0.5000 0.5000 0.5000  4 Pd 2.89, 4 Ga 2.89

Values from the calculation:
* crystal system: cubic



[6]
This record from OQMD describes a geometry-optimized Y3Ga2Pd3 structure. The functional is GGA-PBE.

Lattice parameters (Å, degrees): 4.3180 4.3180 11.3285 90.00 90.00 90.00
With the nearest neighbours (Å) after each atom.
Fractional positions:
1 Y 0.0000 0.0000 0.0000  4 Ga 3.04, 4 Y 3.05
2 Y 0.0000 0.0000 0.5000  4 Pd 3.05
3 Y 0.5000 0.5000 0.0000  4 Ga 3.04, 4 Y 3.05, 2 Pd 3.13
4 Ga 0.0000 0.5000 0.8106  2 Pd 2.37
5 Ga 0.5000 0.0000 0.1894  2 Pd 2.37
6 Pd 0.5000 0.5000 0.2765  2 Ga 2.37, 1 Pd 2.53
7 Pd 0.5000 0.5000 0.5000  2 Pd 2.53
8 Pd 0.5000 0.5000 0.7235  2 Ga 2.37, 1 Pd 2.53

Values from the calculation:
* crystal system: tetragonal



Number 1: electronic total energy -5.86 eV/atom. Number 2: electronic total energy -4.37 eV/atom. Number 3: electronic total energy -6.04 eV/atom. Number 4: electronic total energy -5.24 eV/atom. Number 5: electronic total energy -5.59 eV/atom. Number 6: electronic total energy -5.09 eV/atom.